1.
Material: Pm7Pr12Nd
Method: DFT, PBE
State: relaxed

POSCAR file:
```
Pm7Pr12Nd
1.0
8.683 5.013 2.775
-8.683 5.013 2.775
0.000 -10.026 2.775
Pm Pr Nd
7 12 1
Direct
0.000 0.000 0.000 Pm
0.093 0.435 0.435 Pm
0.435 0.093 0.435 Pm
0.435 0.435 0.093 Pm
0.565 0.565 0.907 Pm
0.565 0.907 0.565 Pm
0.907 0.565 0.565 Pm
0.000 0.286 0.714 Pr
0.000 0.714 0.286 Pr
0.147 0.147 0.460 Pr
0.147 0.460 0.147 Pr
0.286 0.000 0.714 Pr
0.286 0.714 0.000 Pr
0.460 0.147 0.147 Pr
0.540 0.853 0.853 Pr
0.714 0.000 0.286 Pr
0.714 0.286 0.000 Pr
0.853 0.540 0.853 Pr
0.853 0.853 0.540 Pr
0.500 0.500 0.500 Nd
```

Calculated values
DFT formation energy	0.201	eV/atom

=====

2.
Material: FeTcP2
Method: DFT, PBE
State: relaxed

POSCAR file:
```
FeTcP2
1.0
3.594 -1.448 0.000
3.594 1.448 0.000
-1.007 0.000 4.734
Fe Tc P
1 1 2
Direct
0.000 0.000 0.000 Fe
0.500 0.500 0.500 Tc
0.252 0.252 0.772 P
0.748 0.748 0.228 P
```

Calculated values
DFT formation energy	-0.190	eV/atom

=====

The calculation returns the following distance to the lowest polymorph of the same formula values, one per record and in order: 0; 219 meV per atom.
The calculation returns the following N(E_F) values, one per record and in order: 1.505; 0.800 states/eV per atom.
The calculation returns the following magnetic moment values, one per record and in order: 0.00; 0.17 μB per formula unit.